Entry 1:
The following is a PBE calculation of an optimized crystal structure of Er2ZrMnS6, from Alexandria.

Values from the calculation:
Its raw formation energy is -1563.6 meV/atom. The crystal system is trigonal.

Cell: 7.090 7.090 7.090 Å, 55.80 55.80 55.80°
Positions (direct):
Er1 0.000 0.000 0.000
Er2 0.498 0.498 0.498
Zr1 0.695 0.695 0.695
Mn1 0.200 0.200 0.200
S1 0.073 0.812 0.422
S2 0.306 0.580 0.916
S3 0.422 0.073 0.812
S4 0.580 0.916 0.306
S5 0.812 0.422 0.073
S6 0.916 0.306 0.580



Entry 2:
The following is a PBE calculation of an optimized crystal structure of Er8MnSb2, from Alexandria.

Values from the calculation:
Its raw formation energy is -268.3 meV/atom. The crystal system is monoclinic.

Cell: 9.029 9.029 6.743 Å, 108.13 108.13 34.14°
Positions (direct):
Er1 0.008 0.008 0.237
Er2 0.204 0.204 0.118
Er3 0.360 0.360 0.672
Er4 0.407 0.407 0.231
Er5 0.593 0.593 0.769
Er6 0.640 0.640 0.328
Er7 0.796 0.796 0.882
Er8 0.992 0.992 0.763
Mn1 0.500 0.500 0.000
Sb1 0.170 0.170 0.627
Sb2 0.830 0.830 0.373



Entry 3:
The following is a PBE calculation of an optimized crystal structure of Er12MnSb6, from Alexandria.

Values from the calculation:
Its raw formation energy is -531.0 meV/atom. The crystal system is trigonal.

Cell: 8.419 8.419 8.419 Å, 99.53 99.53 99.53°
Positions (direct):
Er1 0.005 0.947 0.692
Er2 0.053 0.308 0.995
Er3 0.199 0.546 0.415
Er4 0.308 0.995 0.053
Er5 0.415 0.199 0.546
Er6 0.454 0.585 0.801
Er7 0.546 0.415 0.199
Er8 0.585 0.801 0.454
Er9 0.692 0.005 0.947
Er10 0.801 0.454 0.585
Er11 0.947 0.692 0.005
Er12 0.995 0.053 0.308
Mn1 0.000 0.000 0.000
Sb1 0.118 0.318 0.648
Sb2 0.318 0.648 0.118
Sb3 0.352 0.882 0.682
Sb4 0.648 0.118 0.318
Sb5 0.682 0.352 0.882
Sb6 0.882 0.682 0.352



Entry 4:
The following is a PBE calculation of an optimized crystal structure of ErMnSb2, from Alexandria.

Values from the calculation:
Its raw formation energy is 60.6 meV/atom. The crystal system is trigonal.

Cell: 9.966 9.966 9.966 Å, 20.24 20.24 20.24°
Positions (direct):
Er1 0.000 0.000 0.000
Mn1 0.500 0.500 0.500
Sb1 0.106 0.106 0.106
Sb2 0.894 0.894 0.894



Entry 5:
The following is a PBE calculation of an optimized crystal structure of ErSc3Mn, from Alexandria.

Values from the calculation:
For the calculated formation energy, the calculation gives 0.14 eV per atom. The crystal system is cubic.

Cell: 4.932 4.932 4.932 Å, 90.00 90.00 90.00°
Positions (direct):
Er1 0.000 0.000 0.000
Sc1 0.000 0.500 0.500
Sc2 0.500 0.000 0.500
Sc3 0.500 0.500 0.000
Mn1 0.500 0.500 0.500



Entry 6:
The following is a PBE calculation of an optimized crystal structure of ErScMn, from Alexandria.

Values from the calculation:
For the calculated formation energy, the calculation gives 0.11 eV per atom. For the polymorph energy (0 for the lowest one), the calculation gives 4 meV per atom. The crystal system is orthorhombic.

Cell: 6.642 6.642 7.415 Å, 90.00 90.00 124.35°
Positions (direct):
Er1 0.192 0.808 0.895
Er2 0.308 0.692 0.395
Er3 0.692 0.308 0.605
Er4 0.808 0.192 0.105
Sc1 0.200 0.300 0.750
Sc2 0.300 0.200 0.250
Sc3 0.700 0.800 0.750
Sc4 0.800 0.700 0.250
Mn1 0.094 0.906 0.551
Mn2 0.406 0.594 0.051
Mn3 0.594 0.406 0.949
Mn4 0.906 0.094 0.449



Entry 7:
The following is a PBE calculation of an optimized crystal structure of ErSc2Mn9, from Alexandria.

Values from the calculation:
For the calculated formation energy, the calculation gives -0.05 eV per atom. The crystal system is trigonal.

Cell: 8.289 8.289 8.289 Å, 35.54 35.54 35.54°
Positions (direct):
Er1 0.000 0.000 0.000
Sc1 0.143 0.143 0.143
Sc2 0.857 0.857 0.857
Mn1 0.080 0.586 0.586
Mn2 0.334 0.334 0.334
Mn3 0.414 0.414 0.920
Mn4 0.414 0.920 0.414
Mn5 0.500 0.500 0.500
Mn6 0.586 0.080 0.586
Mn7 0.586 0.586 0.080
Mn8 0.666 0.666 0.666
Mn9 0.920 0.414 0.414



Entry 8:
The following is a PBE calculation of an optimized crystal structure of Er2ScMn, from Alexandria.

Values from the calculation:
For the calculated formation energy, the calculation gives 0.12 eV per atom. For the polymorph energy (0 for the lowest one), the calculation gives 0 meV per atom. The crystal system is tetragonal.

Cell: 3.456 3.456 8.187 Å, 90.00 90.00 90.00°
Positions (direct):
Er1 0.000 0.000 0.212
Er2 0.000 0.000 0.788
Sc1 0.500 0.500 0.500
Mn1 0.500 0.500 0.000



Entry 9:
The following is a PBE calculation of an optimized crystal structure of Er2ScMn, from Alexandria.

Values from the calculation:
For the calculated formation energy, the calculation gives 0.50 eV per atom. For the polymorph energy (0 for the lowest one), the calculation gives 380 meV per atom. The crystal system is trigonal.

Cell: 11.135 11.135 11.135 Å, 16.98 16.98 16.98°
Positions (direct):
Er1 0.084 0.084 0.084
Er2 0.916 0.916 0.916
Sc1 0.500 0.500 0.500
Mn1 0.000 0.000 0.000



Entry 10:
The following is a PBE calculation of an optimized crystal structure of Er2ScMn, from Alexandria.

Values from the calculation:
For the calculated formation energy, the calculation gives 0.17 eV per atom. For the polymorph energy (0 for the lowest one), the calculation gives 48 meV per atom. The crystal system is tetragonal.

Cell: 4.848 4.848 4.129 Å, 90.00 90.00 90.00°
Positions (direct):
Er1 0.000 0.500 0.000
Er2 0.500 0.000 0.000
Sc1 0.000 0.000 0.500
Mn1 0.500 0.500 0.500



Number 1: mass density 4913 kg/m³, volume 227.5 Å³/f.u.. Number 2: mass density 9316 kg/m³, volume 291.7 Å³/f.u.. Number 3: mass density 8151 kg/m³, volume 568.9 Å³/f.u.. Number 4: mass density 7458 kg/m³, volume 103.7 Å³/f.u.. Number 5: mass density 4941 kg/m³, volume 120.0 Å³/f.u.. Number 6: mass density 6570 kg/m³, volume 67.5 Å³/f.u.. Number 7: mass density 7259 kg/m³, volume 171.9 Å³/f.u.. Number 8: mass density 7376 kg/m³, volume 97.8 Å³/f.u.. Number 9: mass density 7025 kg/m³, volume 102.7 Å³/f.u.. Number 10: mass density 7432 kg/m³, volume 97.1 Å³/f.u..